*1*
## Zr2Pt3 (PBE)

Data for a relaxed Zr2Pt3 crystal.

abc: 8.4066 8.4066 8.4066
angles: 26.24 26.24 26.24
Sites, in units of the cell vectors:
Zr 0.5960 0.5960 0.5960
Zr 0.4040 0.4040 0.4040
Pt 0.0000 0.0000 0.0000
Pt 0.8006 0.8006 0.8006
Pt 0.1994 0.1994 0.1994

Computed properties:
Symmetry: No. 166
DOS at the Fermi energy (states/eV per atom): 0.81



*2*
## Zr2Pt3 (PBE)

Data for a relaxed Zr2Pt3 crystal.

abc: 4.6011 4.6011 5.5280
angles: 90.00 90.00 120.00
Sites, in units of the cell vectors:
Zr 0.6667 0.3333 0.2975
Zr 0.3333 0.6667 0.7025
Pt 0.0000 0.0000 0.0000
Pt 0.6667 0.3333 0.7811
Pt 0.3333 0.6667 0.2189

Computed properties:
Symmetry: No. 164
DOS at the Fermi energy (states/eV per atom): 0.63



*3*
## Zr2Pt3 (PBE)

Data for a relaxed Zr2Pt3 crystal.

abc: 5.5065 5.5065 7.2965
angles: 76.91 76.91 113.55
Sites, in units of the cell vectors:
Pt 0.2146 0.3130 0.2135
Pt 0.5265 0.4281 0.7865
Pt 0.1781 0.7765 0.2865
Pt 0.0630 0.4646 0.7135
Pt 0.9838 0.9838 0.0000
Pt 0.7338 0.2338 0.5000
Zr 0.7683 0.4116 0.0953
Zr 0.5069 0.8636 0.9047
Zr 0.6136 0.7569 0.4047
Zr 0.1616 0.0183 0.5953

Computed properties:
Symmetry: No. 43
DOS at the Fermi energy (states/eV per atom): 0.55



Most stable to least stable, the ends of the list are *3* and *1*.



*1*
## Zr4Pt (PBE)

Data for a relaxed Zr4Pt crystal.

abc: 5.0970 5.0970 5.0970
angles: 90.00 90.00 90.00
Sites, in units of the cell vectors:
Zr 0.0000 0.0000 0.0000
Zr 0.5000 0.0000 0.5000
Zr 0.0000 0.5000 0.5000
Zr 0.5000 0.5000 0.0000
Pt 0.5000 0.5000 0.5000

Computed properties:
Symmetry: No. 221
DOS at the Fermi energy (states/eV per atom): 1.07



*2*
## Zr4Pt (PBE)

Data for a relaxed Zr4Pt crystal.

abc: 3.4238 5.8167 5.8167
angles: 94.97 107.12 72.88
Sites, in units of the cell vectors:
Pt 0.0000 0.0000 0.0000
Zr 0.7855 0.8038 0.3748
Zr 0.2145 0.1962 0.6252
Zr 0.5893 0.6252 0.8038
Zr 0.4107 0.3748 0.1962

Computed properties:
Symmetry: No. 87
DOS at the Fermi energy (states/eV per atom): 1.02



Most stable to least stable, the ends of the list are *2* and *1*.



*1*
## Zr4Pt (PBE)

Data for a relaxed Zr4Pt crystal.

abc: 7.6335 7.5405 6.1602
angles: 100.59 106.16 131.96
Sites, in units of the cell vectors:
Zr 0.4534 0.3989 0.5214
Zr 0.8043 0.9278 0.3359
Zr 0.8643 0.0405 0.8952
Zr 0.0104 0.7656 0.0719
Zr 0.3065 0.6831 0.3640
Zr 0.1001 0.8451 0.6281
Zr 0.2466 0.5703 0.8048
Zr 0.6573 0.2117 0.1786
Pt 0.4065 0.3555 0.0431
Pt 0.7046 0.2554 0.6572

Computed properties:
Symmetry: No. 2
DOS at the Fermi energy (states/eV per atom): 0.98



*2*
## Zr4Pt (PBE)

Data for a relaxed Zr4Pt crystal.

abc: 5.4845 5.4845 5.4845
angles: 109.47 109.47 109.47
Sites, in units of the cell vectors:
Zr 0.5000 0.0000 0.0000
Zr 0.5000 0.5000 0.5000
Zr 0.0000 0.5000 0.0000
Zr 0.0000 0.0000 0.5000
Pt 0.0000 0.0000 0.0000

Computed properties:
Symmetry: No. 229
DOS at the Fermi energy (states/eV per atom): 1.81



Most stable to least stable, the ends of the list are *1* and *2*.



*1*
## Zr3Pt4 (PBE)

Data for a relaxed Zr3Pt4 crystal.

abc: 10.7847 10.7847 10.7847
angles: 161.11 161.11 26.84
Sites, in units of the cell vectors:
Zr 0.0000 0.0000 0.0000
Zr 0.7001 0.7001 0.0000
Zr 0.2999 0.2999 0.0000
Pt 0.8547 0.8547 0.0000
Pt 0.5664 0.5664 0.0000
Pt 0.4336 0.4336 0.0000
Pt 0.1453 0.1453 0.0000

Computed properties:
Symmetry: No. 139
DOS at the Fermi energy (states/eV per atom): 0.80



*2*
## Zr3Pt4 (PBE)

Data for a relaxed Zr3Pt4 crystal.

abc: 5.4751 5.4751 5.0537
angles: 90.00 90.00 120.00
Sites, in units of the cell vectors:
Zr 0.0000 0.5000 0.0000
Zr 0.5000 0.5000 0.0000
Zr 0.5000 0.0000 0.0000
Pt 0.0000 0.0000 0.2591
Pt 0.0000 0.0000 0.7409
Pt 0.6667 0.3333 0.5000
Pt 0.3333 0.6667 0.5000

Computed properties:
Symmetry: No. 191
DOS at the Fermi energy (states/eV per atom): 0.96



Most stable to least stable, the ends of the list are *1* and *2*.



*1*
## Zr5Pt3 (PBE)

Data for a relaxed Zr5Pt3 crystal.

abc: 5.8426 5.8426 4.8796
angles: 90.00 90.00 109.93
Sites, in units of the cell vectors:
Zr 0.0000 0.0000 0.0000
Zr 0.5000 0.0000 0.0000
Zr 0.0000 0.5000 0.0000
Zr 0.7338 0.7338 0.5000
Zr 0.2662 0.2662 0.5000
Pt 0.5000 0.5000 0.0000
Pt 0.7752 0.2248 0.5000
Pt 0.2248 0.7752 0.5000

Computed properties:
Symmetry: No. 65
DOS at the Fermi energy (states/eV per atom): 1.20



*2*
## Zr5Pt3 (PBE)

Data for a relaxed Zr5Pt3 crystal.

abc: 8.3083 8.3083 5.3885
angles: 90.00 90.00 60.00
Sites, in units of the cell vectors:
Pt 0.6046 0.3954 0.7500
Pt 0.3954 0.6046 0.2500
Pt 0.3954 0.0000 0.7500
Pt 0.0000 0.3954 0.2500
Pt 0.6046 0.0000 0.2500
Pt 0.0000 0.6046 0.7500
Zr 0.7542 0.2458 0.2500
Zr 0.2458 0.7542 0.7500
Zr 0.2459 0.0000 0.2500
Zr 0.0000 0.2458 0.7500
Zr 0.6667 0.6667 0.0000
Zr 0.6667 0.6667 0.5000
Zr 0.3333 0.3333 0.0000
Zr 0.3333 0.3333 0.5000
Zr 0.7542 0.0000 0.7500
Zr 0.0000 0.7542 0.2500

Computed properties:
Symmetry: No. 193
DOS at the Fermi energy (states/eV per atom): 1.14



*3*
## Zr5Pt3 (PBE)

Data for a relaxed Zr5Pt3 crystal.

abc: 6.8903 6.8903 8.4441
angles: 114.08 114.08 90.00
Sites, in units of the cell vectors:
Zr 0.0000 0.0000 0.0000
Zr 0.5000 0.5000 0.0000
Zr 0.5074 0.0074 0.6887
Zr 0.1813 0.6813 0.6887
Zr 0.6813 0.5074 0.6887
Zr 0.0074 0.1813 0.6887
Zr 0.4926 0.9926 0.3113
Zr 0.8187 0.3187 0.3113
Zr 0.3187 0.4926 0.3113
Zr 0.9926 0.8187 0.3113
Pt 0.7500 0.7500 0.5000
Pt 0.2500 0.2500 0.5000
Pt 0.1373 0.6373 0.0000
Pt 0.8627 0.3627 0.0000
Pt 0.3627 0.1373 0.0000
Pt 0.6373 0.8627 0.0000

Computed properties:
Symmetry: No. 140
DOS at the Fermi energy (states/eV per atom): 1.32



Most stable to least stable, the ends of the list are *2* and *1*.



*1*
## Zr4Pt5 (PBE)

Data for a relaxed Zr4Pt5 crystal.

abc: 8.2263 8.2263 5.7079
angles: 90.00 90.00 60.00
Sites, in units of the cell vectors:
Zr 0.0000 0.0000 0.0000
Zr 0.0000 0.0000 0.5000
Zr 0.6350 0.3650 0.2500
Zr 0.0000 0.6350 0.2500
Zr 0.3650 0.0000 0.2500
Zr 0.3650 0.6350 0.7500
Zr 0.0000 0.3650 0.7500
Zr 0.6350 0.0000 0.7500
Pt 0.3024 0.6976 0.2500
Pt 0.0000 0.3024 0.2500
Pt 0.6976 0.0000 0.2500
Pt 0.6976 0.3024 0.7500
Pt 0.0000 0.6976 0.7500
Pt 0.3024 0.0000 0.7500
Pt 0.3333 0.3333 0.0000
Pt 0.6667 0.6667 0.5000
Pt 0.6667 0.6667 0.0000
Pt 0.3333 0.3333 0.5000

Computed properties:
Symmetry: No. 193
DOS at the Fermi energy (states/eV per atom): 0.64



*2*
## Zr4Pt5 (PBE)

Data for a relaxed Zr4Pt5 crystal.

abc: 6.5860 6.5860 6.5860
angles: 96.03 96.03 142.18
Sites, in units of the cell vectors:
Zr 0.6890 0.0000 0.6890
Zr 0.3110 0.0000 0.3110
Zr 0.0000 0.6890 0.6890
Zr 0.0000 0.3110 0.3110
Pt 0.0000 0.0000 0.0000
Pt 0.6682 0.6682 0.3363
Pt 0.3318 0.6682 0.0000
Pt 0.6682 0.3318 0.0000
Pt 0.3318 0.3318 0.6637

Computed properties:
Symmetry: No. 139
DOS at the Fermi energy (states/eV per atom): 0.85



Most stable to least stable, the ends of the list are *1* and *2*.